Entry from the Alexandria database: an optimized crystal structure of Cd2Si2Au (PBE-GGA).

POSCAR file:
```
Cd2Si2Au
1.0
4.318 0.000 0.000
0.000 4.318 0.000
2.159 2.159 5.576
Si Au Cd
2 1 2
Direct
0.399 0.399 0.203
0.601 0.601 0.797
0.000 0.000 0.000
0.750 0.250 0.500
0.250 0.750 0.500
```

Values from the calculation:
- Formation energy from raw total energies: 0.439 eV/atom
- Energy relative to the lowest polymorph listed for this composition: 0.2932 eV per atom